(1)
Density functional theory data (PBE) for a geometry-optimized BeP2OsCl structure.

Cell lengths 4.1216, 4.1216, 4.3282 Å; angles 90.00, 90.00, 90.00 degrees
Fractional positions:
Be (0.0000, 0.0000, 0.0000)
P (0.0000, 0.5000, 0.0000)
P (0.5000, 0.0000, 0.0000)
Os (0.5000, 0.5000, 0.5000)
Cl (0.0000, 0.0000, 0.5000)

Computed properties:
size of the total moment = 0.00 μB per formula unit
E above lowest polymorph = 202 meV per atom
ΔE_f (raw) = 1.110 eV/atom

(2)
Density functional theory data (PBE) for a geometry-optimized BeP2OsCl structure.

Cell lengths 4.5226, 4.5226, 5.0960 Å; angles 90.00, 90.00, 90.00 degrees
Fractional positions:
Be (0.0000, 0.0000, 0.0000)
P (0.0000, 0.5000, 0.5000)
P (0.5000, 0.0000, 0.5000)
Os (0.5000, 0.5000, 0.5000)
Cl (0.5000, 0.5000, 0.0000)

Computed properties:
size of the total moment = 0.00 μB per formula unit
E above lowest polymorph = 0 meV per atom
ΔE_f (raw) = 0.908 eV/atom

(3)
Density functional theory data (PBE) for a geometry-optimized Be2OsPtCl structure.

Cell lengths 4.0019, 4.0019, 4.3809 Å; angles 90.00, 90.00, 90.00 degrees
Fractional positions:
Be (0.0000, 0.5000, 0.0000)
Be (0.5000, 0.0000, 0.0000)
Os (0.0000, 0.0000, 0.5000)
Pt (0.5000, 0.5000, 0.5000)
Cl (0.0000, 0.0000, 0.0000)

Computed properties:
size of the total moment = 0.00 μB per formula unit
ΔE_f (raw) = 1.155 eV/atom

Number 1: N(E_F) 3.26 states/eV/f.u.. Number 2: N(E_F) 3.93 states/eV/f.u.. Number 3: N(E_F) 3.31 states/eV/f.u..